[1]
# La4Cu3Ag (GGA-PBE, optimized geometry)
data_La4Cu3Ag
_space_group_name_H-M_alt 'P m m 2'
_space_group_IT_number 25
_cell_length_a 4.059
_cell_length_b 4.692
_cell_length_c 10.961
_cell_angle_alpha 90.00
_cell_angle_beta 90.00
_cell_angle_gamma 90.00
loop_
_space_group_symop_operation_xyz
'x,y,z'
'-x,-y,z'
'-x,y,z'
'x,-y,z'
loop_
_atom_site_label
_atom_site_type_symbol
_atom_site_fract_x
_atom_site_fract_y
_atom_site_fract_z
La1 La 0.000 0.000 0.000
La2 La 0.000 0.500 0.274
La3 La 0.500 0.000 0.481
La4 La 0.500 0.500 0.779
Cu1 Cu 0.000 0.500 0.562
Cu2 Cu 0.500 0.000 0.198
Cu3 Cu 0.500 0.500 0.071
Ag1 Ag 0.000 0.000 0.701
# formation energy from the elements = -0.18 eV per atom

***

[2]
# La6CuAg5 (GGA-PBE, optimized geometry)
data_La6CuAg5
_space_group_name_H-M_alt 'P 1 2/m 1'
_space_group_IT_number 10
_cell_length_a 5.412
_cell_length_b 7.523
_cell_length_c 8.554
_cell_angle_alpha 90.00
_cell_angle_beta 108.52
_cell_angle_gamma 90.00
loop_
_space_group_symop_operation_xyz
'x,y,z'
'-x,-y,-z'
'-x,y,-z'
'x,-y,z'
loop_
_atom_site_label
_atom_site_type_symbol
_atom_site_fract_x
_atom_site_fract_y
_atom_site_fract_z
La1 La 0.000 0.239 0.000
La2 La 0.338 0.246 0.676
Cu1 Cu 0.500 0.000 0.000
Ag1 Ag 0.169 0.500 0.339
Ag2 Ag 0.171 0.000 0.343
Ag3 Ag 0.500 0.500 0.000
# formation energy from the elements = -0.23 eV per atom

***

[3]
# LaCuAg2 (GGA-PBE, optimized geometry)
data_LaCuAg2
_space_group_name_H-M_alt 'R -3 m'
_space_group_IT_number 166
_space_group_name_Hall '-R 3 2"'
_cell_length_a 3.1944
_cell_length_b 3.1944
_cell_length_c 28.4485
_cell_angle_alpha 90.00
_cell_angle_beta 90.00
_cell_angle_gamma 120.00
loop_
_atom_site_label
_atom_site_type_symbol
_atom_site_fract_x
_atom_site_fract_y
_atom_site_fract_z
La1 La 0.0000 0.0000 0.0000
Cu1 Cu 0.0000 0.0000 0.5000
Ag1 Ag 0.0000 0.0000 0.2351
# formation energy from the elements = 0.23 eV per atom

***

[4]
# La2CuAg2 (GGA-PBE, optimized geometry)
data_La2CuAg2
_space_group_name_H-M_alt 'A m m 2'
_space_group_IT_number 38
_cell_length_a 3.935
_cell_length_b 4.287
_cell_length_c 14.929
_cell_angle_alpha 90.00
_cell_angle_beta 90.00
_cell_angle_gamma 90.00
loop_
_space_group_symop_operation_xyz
'x,y,z'
'-x,-y,z'
'-x,y,z'
'x,-y,z'
'x,y+1/2,z+1/2'
'-x,-y+1/2,z+1/2'
'-x,y+1/2,z+1/2'
'x,-y+1/2,z+1/2'
loop_
_atom_site_label
_atom_site_type_symbol
_atom_site_fract_x
_atom_site_fract_y
_atom_site_fract_z
La1 La 0.000 0.000 0.000
La2 La 0.000 0.000 0.245
Cu1 Cu 0.500 0.000 0.429
Ag1 Ag 0.500 0.000 0.620
Ag2 Ag 0.500 0.000 0.824
# formation energy from the elements = -0.23 eV per atom
# energy above the lowest structure with this stoichiometry = 0 meV/atom

***

- The highest formation energy from the elements belongs to which entry?
  LaCuAg2

***

- What is the formation energy from the elements in the second record?
  -0.23 eV per atom

***

Copy entry 1 word for word.
# La4Cu3Ag (GGA-PBE, optimized geometry)
data_La4Cu3Ag
_space_group_name_H-M_alt 'P m m 2'
_space_group_IT_number 25
_cell_length_a 4.059
_cell_length_b 4.692
_cell_length_c 10.961
_cell_angle_alpha 90.00
_cell_angle_beta 90.00
_cell_angle_gamma 90.00
loop_
_space_group_symop_operation_xyz
'x,y,z'
'-x,-y,z'
'-x,y,z'
'x,-y,z'
loop_
_atom_site_label
_atom_site_type_symbol
_atom_site_fract_x
_atom_site_fract_y
_atom_site_fract_z
La1 La 0.000 0.000 0.000
La2 La 0.000 0.500 0.274
La3 La 0.500 0.000 0.481
La4 La 0.500 0.500 0.779
Cu1 Cu 0.000 0.500 0.562
Cu2 Cu 0.500 0.000 0.198
Cu3 Cu 0.500 0.500 0.071
Ag1 Ag 0.000 0.000 0.701
# formation energy from the elements = -0.18 eV per atom